Record 1
The following is a DFT calculation (PBE-GGA) of TaRhO2 after structural relaxation.

## Properties
Spin magnetization (μB/f.u.): 0.00
DOS at the Fermi energy (states/eV per cell): 4.312
Formation energy (no corrections) (eV per atom): -1.236
Space group: No. 122
Energy above the lowest structure with this stoichiometry (meV per atom): 145

Cell: 6.935 6.935 6.935 Å, 146.78 146.78 47.69°
Positions (direct):
Ta 0.000 0.000 0.000
Ta 0.750 0.250 0.500
Rh 0.250 0.750 0.500
Rh 0.500 0.500 0.000
O 0.079 0.625 0.954
O 0.375 0.329 0.454
O 0.671 0.125 0.046
O 0.875 0.921 0.546



Record 2
The following is a DFT calculation (PBE-GGA) of TaRhO2 after structural relaxation.

## Properties
Spin magnetization (μB/f.u.): 0.00
DOS at the Fermi energy (states/eV per cell): 3.013
Formation energy (no corrections) (eV per atom): -0.673
Space group: No. 166
Energy above the lowest structure with this stoichiometry (meV per atom): 708

Cell: 6.256 6.256 6.256 Å, 29.41 29.41 29.41°
Positions (direct):
Ta 0.000 0.000 0.000
Rh 0.500 0.500 0.500
O 0.111 0.111 0.111
O 0.889 0.889 0.889



Record 3
The following is a DFT calculation (PBE-GGA) of Ta2RhO6 after structural relaxation.

## Properties
Spin magnetization (μB/f.u.): 0.99
DOS at the Fermi energy (states/eV per cell): 8.258
Formation energy (no corrections) (eV per atom): -2.202
Space group: No. 150

Cell: 8.797 8.797 4.718 Å, 90.00 90.00 120.00°
Positions (direct):
Ta 0.000 0.324 0.000
Ta 0.000 0.655 0.500
Ta 0.324 0.000 0.000
Ta 0.345 0.345 0.500
Ta 0.655 0.000 0.500
Ta 0.676 0.676 0.000
Rh 0.000 0.000 0.500
Rh 0.333 0.667 0.000
Rh 0.667 0.333 0.000
O 0.092 0.543 0.249
O 0.115 0.233 0.262
O 0.118 0.885 0.262
O 0.207 0.785 0.756
O 0.215 0.422 0.756
O 0.233 0.115 0.738
O 0.422 0.215 0.244
O 0.451 0.908 0.249
O 0.457 0.549 0.249
O 0.543 0.092 0.751
O 0.549 0.457 0.751
O 0.578 0.793 0.756
O 0.767 0.882 0.262
O 0.785 0.207 0.244
O 0.793 0.578 0.244
O 0.882 0.767 0.738
O 0.885 0.118 0.738
O 0.908 0.451 0.751



Record 4
The following is a DFT calculation (PBE-GGA) of TaTiRhO6 after structural relaxation.

## Properties
Spin magnetization (μB/f.u.): 0.00
DOS at the Fermi energy (states/eV per cell): 1.792
Formation energy (no corrections) (eV per atom): -2.186
Space group: No. 163

Cell: 5.142 5.142 8.682 Å, 90.00 90.00 120.00°
Positions (direct):
Ta 0.333 0.667 0.250
Ta 0.667 0.333 0.750
Ti 0.333 0.667 0.750
Ti 0.667 0.333 0.250
Rh 0.000 0.000 0.000
Rh 0.000 0.000 0.500
O 0.003 0.343 0.629
O 0.003 0.660 0.871
O 0.340 0.343 0.871
O 0.340 0.997 0.629
O 0.343 0.003 0.129
O 0.343 0.340 0.371
O 0.657 0.660 0.629
O 0.657 0.997 0.871
O 0.660 0.003 0.371
O 0.660 0.657 0.129
O 0.997 0.340 0.129
O 0.997 0.657 0.371



Record 5
The following is a DFT calculation (PBE-GGA) of TbRh2O6 after structural relaxation.

## Properties
Spin magnetization (μB/f.u.): 3.03
DOS at the Fermi energy (states/eV per cell): 1.374
Formation energy (no corrections) (eV per atom): -1.287
Space group: No. 162

Cell: 5.513 5.513 5.011 Å, 90.00 90.00 120.00°
Positions (direct):
Tb 0.000 0.000 0.000
Rh 0.333 0.667 0.000
Rh 0.667 0.333 0.000
O 0.000 0.367 0.798
O 0.000 0.633 0.202
O 0.367 0.000 0.798
O 0.367 0.367 0.202
O 0.633 0.000 0.202
O 0.633 0.633 0.798



Record 6
The following is a DFT calculation (PBE-GGA) of Tb6RhO12 after structural relaxation.

## Properties
Spin magnetization (μB/f.u.): 3.09
DOS at the Fermi energy (states/eV per cell): 4.504
Formation energy (no corrections) (eV per atom): -2.914
Space group: No. 148

Cell: 6.504 6.504 6.504 Å, 98.54 98.54 98.54°
Positions (direct):
Tb 0.112 0.644 0.811
Tb 0.189 0.888 0.356
Tb 0.356 0.189 0.888
Tb 0.644 0.811 0.112
Tb 0.811 0.112 0.644
Tb 0.888 0.356 0.189
Rh 0.500 0.500 0.500
O 0.064 0.322 0.909
O 0.091 0.936 0.678
O 0.201 0.536 0.431
O 0.322 0.909 0.064
O 0.431 0.201 0.536
O 0.464 0.569 0.799
O 0.536 0.431 0.201
O 0.569 0.799 0.464
O 0.678 0.091 0.936
O 0.799 0.464 0.569
O 0.909 0.064 0.322
O 0.936 0.678 0.091



Record 7
The following is a DFT calculation (PBE-GGA) of TbRhO after structural relaxation.

## Properties
Spin magnetization (μB/f.u.): 0.00
DOS at the Fermi energy (states/eV per cell): 1.965
Formation energy (no corrections) (eV per atom): -1.692
Space group: No. 51

Cell: 5.287 3.267 5.290 Å, 90.00 90.00 90.00°
Positions (direct):
Tb 0.250 0.000 0.207
Tb 0.750 0.000 0.793
Rh 0.250 0.500 0.656
Rh 0.750 0.500 0.344
O 0.000 0.500 0.000
O 0.500 0.500 0.000



Record 8
The following is a DFT calculation (PBE-GGA) of TbRhO3 after structural relaxation.

## Properties
Spin magnetization (μB/f.u.): 0.00
Formation energy (no corrections) (eV per atom): -2.082
Space group: No. 15

Cell: 5.701 5.701 9.353 Å, 107.66 107.66 58.57°
Positions (direct):
Tb 0.039 0.673 0.864
Tb 0.327 0.961 0.636
Tb 0.673 0.039 0.364
Tb 0.961 0.327 0.136
Rh 0.000 0.500 0.500
Rh 0.272 0.728 0.250
Rh 0.500 0.000 0.000
Rh 0.728 0.272 0.750
O 0.128 0.227 0.863
O 0.159 0.709 0.439
O 0.227 0.128 0.363
O 0.291 0.841 0.061
O 0.313 0.390 0.683
O 0.390 0.313 0.183
O 0.610 0.687 0.817
O 0.687 0.610 0.317
O 0.709 0.159 0.939
O 0.773 0.872 0.637
O 0.841 0.291 0.561
O 0.872 0.773 0.137



formation energy (no corrections) of number 2 (TaRhO2)? -0.673 eV per atom